[1]
The following is a GGA-PBE calculation of an optimized crystal structure of Te2IrBrN, from Alexandria via LeMat-Bulk.

Cell lengths 5.5049, 5.5049, 3.5691 Å; angles 90.00, 90.00, 90.00 degrees
Closest atoms and distances in Å follow each position.
Fractional coordinates of all 5 atoms:
Te 0.0000 0.5000 0.0000  2 Br 2.75
Te 0.5000 0.0000 0.0000  2 Br 2.75
Ir 0.0000 0.0000 0.5000  8 Te 3.28, 2 Ir 3.57
Br 0.5000 0.5000 0.0000  2 N 1.78
N 0.5000 0.5000 0.5000  2 Br 1.78

Properties
For the density of states at the Fermi level, the calculation gives 0.93 states/eV/atom. The value obtained for the magnetization is 0.0 μB per formula unit. The total energy is -15.9 eV per cell. For the polymorph energy (0 for the lowest one), the calculation gives 1458 meV per atom.

[2]
The following is a GGA-PBE calculation of an optimized crystal structure of K2ErPuTe4, from Alexandria via LeMat-Bulk.

Cell lengths 7.8519, 4.5223, 8.6106 Å; angles 90.00, 107.67, 90.00 degrees
Closest atoms and distances in Å follow each position.
Fractional coordinates of all 8 atoms:
K 0.0000 0.0000 0.0000  6 Te 3.51-3.53
K 0.5000 0.5000 0.0000  6 Te 3.56-3.58
Er 0.0000 0.5000 0.5000  6 Te 3.09-3.10
Pu 0.5000 0.0000 0.5000  6 Te 3.14-3.16
Te 0.2299 0.0000 0.7077  2 Er 3.10, 1 Pu 3.16
Te 0.2588 0.5000 0.2918  1 Er 3.09, 2 Pu 3.14
Te 0.7412 0.5000 0.7082  1 Er 3.09, 2 Pu 3.14
Te 0.7701 0.0000 0.2923  2 Er 3.10, 1 Pu 3.16

Properties
For the density of states at the Fermi level, the calculation gives 1.69 states/eV/atom. The value obtained for the magnetization is 5.0 μB per formula unit. The total energy is -43.6 eV per cell.